# TbHo2ThN4

A geometry-optimized TbHo2ThN4 structure (PBE-GGA, the Alexandria database).

Lattice parameters (Å, degrees): 6.0898 3.5275 6.0902 90.00 109.33 90.00
With the nearest neighbours (Å) after each atom.
Atoms (fractional coordinates):
Tb  0.0000  0.0000  0.0000  6 N 2.50
Ho  0.5000  0.0000  0.5000  6 N 2.47-2.48
Ho  0.5000  0.5000  0.0000  6 N 2.48
Th  0.0000  0.5000  0.5000  6 N 2.49-2.51
N  0.2525  0.5000  0.2520  3 Ho 2.48, 1 Th 2.49, 2 Tb 2.50
N  0.2547  0.0000  0.7522  3 Ho 2.47-2.48, 1 Tb 2.50, 2 Th 2.51
N  0.7453  0.0000  0.2478  3 Ho 2.47-2.48, 1 Tb 2.50, 2 Th 2.51
N  0.7475  0.5000  0.7480  3 Ho 2.48, 1 Th 2.49, 2 Tb 2.50

**SG**: No. 10
**Uncorrected formation energy**: -1.681 eV per atom

***

# Co2SbRh

A geometry-optimized Co2SbRh structure (PBE-GGA, the Alexandria database).

Lattice parameters (Å, degrees): 3.2457 3.2457 5.5211 90.00 90.00 90.00
With the nearest neighbours (Å) after each atom.
Atoms (fractional coordinates):
Co  0.0000  0.0000  0.0000  4 Co 2.50, 1 Rh 2.56, 4 Sb 2.78
Co  0.5000  0.5000  0.1795  4 Co 2.50, 1 Sb 2.56, 4 Rh 2.78
Sb  0.5000  0.5000  0.7152  5 Co 2.56-2.78, 4 Rh 2.68
Rh  0.0000  0.0000  0.4634  5 Co 2.56-2.78, 4 Sb 2.68

**SG**: No. 99
**Uncorrected formation energy**: 0.109 eV per atom

***

| no. | size of the total moment (μB/f.u.) |
| --- | --- |
| 1 | 0.00 |
| 2 | 3.08 |